(1)
A relaxed structure of Ce2ReGe3, computed with GGA-PBE.

Cell lengths 8.3583, 8.3583, 8.3583 Å; angles 155.30, 146.54, 42.03 degrees
Fractional coordinates of all 6 atoms:
Ce 0.1496 0.1496 0.0000
Ce 0.8504 0.8504 0.0000
Re 0.5000 0.5000 0.0000
Ge 0.0000 0.5000 0.5000
Ge 0.3370 0.3370 0.0000
Ge 0.6630 0.6630 0.0000

E = -39.40 eV/cell
Energy relative to the elements = -0.21 eV per atom
Crystal system = orthorhombic

---

(2)
A relaxed structure of NpAs12Ru4, computed with GGA-PBE.

Cell lengths 7.4284, 7.4284, 7.4284 Å; angles 109.47, 109.47, 109.47 degrees
Fractional coordinates of all 17 atoms:
Np 0.0000 0.0000 0.0000
As 0.1496 0.3459 0.4956
As 0.1496 0.6541 0.8037
As 0.1963 0.8504 0.3459
As 0.3459 0.1963 0.8504
As 0.3459 0.4956 0.1496
As 0.4956 0.1496 0.3459
As 0.5044 0.8504 0.6541
As 0.6541 0.5044 0.8504
As 0.6541 0.8037 0.1496
As 0.8037 0.1496 0.6541
As 0.8504 0.3459 0.1963
As 0.8504 0.6541 0.5044
Ru 0.0000 0.0000 0.5000
Ru 0.0000 0.5000 0.0000
Ru 0.5000 0.0000 0.0000
Ru 0.5000 0.5000 0.5000

E = -112.27 eV/cell
Energy relative to the elements = -0.38 eV per atom
Crystal system = cubic

---

(3)
A relaxed structure of ScOsI2, computed with GGA-PBE.

Cell lengths 9.1310, 9.1310, 9.1310 Å; angles 148.59, 148.59, 45.02 degrees
Fractional coordinates of all 8 atoms:
Sc 0.0000 0.0000 0.0000
Sc 0.7500 0.2500 0.5000
Os 0.2500 0.7500 0.5000
Os 0.5000 0.5000 0.0000
I 0.1454 0.6250 0.0204
I 0.3750 0.3954 0.5204
I 0.6046 0.1250 0.9796
I 0.8750 0.8546 0.4796

Offset from the most stable computed form = 0 meV per atom
E = -37.31 eV/cell
Uncorrected formation energy = 0.50 eV per atom
Crystal system = tetragonal

---

(4)
A relaxed structure of ZnCrOs2, computed with GGA-PBE.

Cell lengths 3.8750, 3.8750, 3.6670 Å; angles 90.00, 90.00, 90.00 degrees
Fractional coordinates of all 4 atoms:
Zn 0.0000 0.0000 0.0000
Cr 0.5000 0.5000 0.0000
Os 0.0000 0.5000 0.5000
Os 0.5000 0.0000 0.5000

E = -32.01 eV/cell
Energy relative to the elements = 0.34 eV per atom
Crystal system = tetragonal

---

(5)
A relaxed structure of CdTeS2, computed with GGA-PBE.

Cell lengths 9.5413, 9.5413, 9.5413 Å; angles 22.83, 22.83, 22.83 degrees
Fractional coordinates of all 4 atoms:
Cd 0.0000 0.0000 0.0000
Te 0.5000 0.5000 0.5000
S 0.1092 0.1092 0.1092
S 0.8908 0.8908 0.8908

Offset from the most stable computed form = 283 meV per atom
E = -11.60 eV/cell
Uncorrected formation energy = 0.18 eV per atom
Crystal system = trigonal

---

(6)
A relaxed structure of ScSi2Ru, computed with GGA-PBE.

Cell lengths 8.1493, 8.1493, 8.1493 Å; angles 21.61, 21.61, 21.61 degrees
Fractional coordinates of all 4 atoms:
Sc 0.0000 0.0000 0.0000
Si 0.5073 0.5073 0.5073
Si 0.7610 0.7610 0.7610
Ru 0.2457 0.2457 0.2457

E = -26.93 eV/cell
Uncorrected formation energy = -0.12 eV per atom
Crystal system = trigonal

---

(7)
A relaxed structure of Fe2Ru, computed with GGA-PBE.

Cell lengths 4.1423, 4.1423, 5.0743 Å; angles 90.00, 90.00, 120.00 degrees
Fractional coordinates of all 6 atoms:
Fe 0.0000 0.0000 0.0000
Fe 0.0000 0.0000 0.5000
Fe 0.3333 0.6667 0.2500
Fe 0.6667 0.3333 0.7500
Ru 0.3333 0.6667 0.7500
Ru 0.6667 0.3333 0.2500

E = -50.98 eV/cell
Energy relative to the elements = 0.24 eV per atom
Crystal system = hexagonal

---

(8)
A relaxed structure of Pm4Cd2Pb, computed with GGA-PBE.

Cell lengths 9.2334, 9.2334, 9.2334 Å; angles 33.78, 33.78, 33.78 degrees
Fractional coordinates of all 7 atoms:
Pm 0.1167 0.1167 0.1167
Pm 0.3695 0.3695 0.3695
Pm 0.6305 0.6305 0.6305
Pm 0.8833 0.8833 0.8833
Cd 0.2485 0.2485 0.2485
Cd 0.7515 0.7515 0.7515
Pb 0.5000 0.5000 0.5000

E = -26.00 eV/cell
Energy relative to the elements = -0.21 eV per atom
Crystal system = trigonal

---

(9)
A relaxed structure of Ac6Pm2Ho, computed with GGA-PBE.

Cell lengths 7.7835, 7.7835, 6.7260 Å; angles 99.53, 99.53, 74.07 degrees
Fractional coordinates of all 9 atoms:
Ac 0.1033 0.7057 0.7072
Ac 0.1960 0.1960 0.8255
Ac 0.2943 0.8967 0.2928
Ac 0.7057 0.1033 0.7072
Ac 0.8040 0.8040 0.1745
Ac 0.8967 0.2943 0.2928
Pm 0.3612 0.3612 0.3701
Pm 0.6388 0.6388 0.6299
Ho 0.5000 0.5000 0.0000

E = -37.18 eV/cell
Energy relative to the elements = 0.17 eV per atom
Crystal system = monoclinic

---

(10)
A relaxed structure of CaCo2Ir, computed with GGA-PBE.

Cell lengths 4.4144, 4.4144, 4.4144 Å; angles 60.00, 60.00, 60.00 degrees
Fractional coordinates of all 4 atoms:
Ca 0.0000 0.0000 0.0000
Co 0.2500 0.2500 0.2500
Co 0.7500 0.7500 0.7500
Ir 0.5000 0.5000 0.5000

E = -24.00 eV/cell
Energy relative to the elements = 0.27 eV per atom
Crystal system = cubic

---

(11)
A relaxed structure of TaTlTeAu2, computed with GGA-PBE.

Cell lengths 5.1259, 5.1259, 5.4644 Å; angles 90.00, 90.00, 90.00 degrees
Fractional coordinates of all 5 atoms:
Ta 0.0000 0.0000 0.0000
Tl 0.0000 0.0000 0.5000
Te 0.5000 0.5000 0.0000
Au 0.0000 0.5000 0.5000
Au 0.5000 0.0000 0.5000

Offset from the most stable computed form = 331 meV per atom
E = -17.36 eV/cell
Uncorrected formation energy = 1.31 eV per atom
Crystal system = tetragonal

---

(12)
A relaxed structure of RbIn2GaSn, computed with GGA-PBE.

Cell lengths 7.1216, 7.1216, 7.1216 Å; angles 138.88, 138.88, 59.55 degrees
Fractional coordinates of all 5 atoms:
Rb 0.0000 0.0000 0.0000
In 0.3807 0.3807 0.0000
In 0.6193 0.6193 0.0000
Ga 0.7500 0.2500 0.5000
Sn 0.2500 0.7500 0.5000

Offset from the most stable computed form = 0 meV per atom
E = -14.08 eV/cell
Energy relative to the elements = -0.12 eV per atom
Crystal system = tetragonal

---

Fermi-level density of states for every record listed, in sequence, given in states/eV per atom: 1.30, 0.32, 1.30, 1.23, 0.17, 0.91, 1.19, 1.53, 1.41, 0.95, 1.21, 0.36.